Entry 1:
DFT (PBE-GGA) results for a geometry-optimized Tm7Ni2Pt2 structure.

abc: 9.000 9.000 9.000
angles: 156.05 66.66 118.83
Sites, in units of the cell vectors:
Tm  0.000  0.000  0.000
Tm  0.090  0.397  0.693
Tm  0.129  0.760  0.370
Tm  0.390  0.760  0.630
Tm  0.490  0.604  0.887
Tm  0.704  0.397  0.307
Tm  0.717  0.604  0.113
Ni  0.342  0.098  0.243
Ni  0.855  0.098  0.757
Pt  0.345  0.345  0.000
Pt  0.775  0.275  0.500

Results
Formation energy from the elements: -0.676 eV per atom
Crystal system: orthorhombic



Entry 2:
DFT (PBE-GGA) results for a geometry-optimized TmNiPt6 structure.

abc: 3.993 3.993 8.014
angles: 90.00 90.00 90.00
Sites, in units of the cell vectors:
Tm  0.000  0.000  0.000
Ni  0.000  0.000  0.500
Pt  0.000  0.500  0.264
Pt  0.000  0.500  0.736
Pt  0.500  0.000  0.264
Pt  0.500  0.000  0.736
Pt  0.500  0.500  0.000
Pt  0.500  0.500  0.500

Results
Formation energy from the elements: -0.534 eV per atom
Crystal system: tetragonal



Entry 3:
DFT (PBE-GGA) results for a geometry-optimized Tm8Ni2Pt structure.

abc: 8.861 8.861 6.530
angles: 104.60 104.60 32.32
Sites, in units of the cell vectors:
Tm  0.037  0.037  0.287
Tm  0.204  0.204  0.832
Tm  0.329  0.329  0.519
Tm  0.409  0.409  0.049
Tm  0.591  0.591  0.951
Tm  0.671  0.671  0.481
Tm  0.796  0.796  0.168
Tm  0.963  0.963  0.713
Ni  0.188  0.188  0.226
Ni  0.812  0.812  0.774
Pt  0.500  0.500  0.500

Results
Formation energy from the elements: -0.421 eV per atom
ΔE to the lowest computed polymorph: 0.000 eV/atom
Crystal system: monoclinic



Entry 4:
DFT (PBE-GGA) results for a geometry-optimized Tm2NiPt9 structure.

abc: 4.039 4.039 12.047
angles: 90.00 90.00 90.00
Sites, in units of the cell vectors:
Tm  0.000  0.000  0.172
Tm  0.000  0.000  0.828
Ni  0.000  0.000  0.500
Pt  0.000  0.500  0.000
Pt  0.000  0.500  0.346
Pt  0.000  0.500  0.654
Pt  0.500  0.000  0.000
Pt  0.500  0.000  0.346
Pt  0.500  0.000  0.654
Pt  0.500  0.500  0.173
Pt  0.500  0.500  0.500
Pt  0.500  0.500  0.827

Results
Formation energy from the elements: -0.713 eV per atom
Crystal system: tetragonal



Entry 5:
DFT (PBE-GGA) results for a geometry-optimized Tm2Ni2Pt structure.

abc: 5.207 5.207 5.207
angles: 131.44 119.06 81.52
Sites, in units of the cell vectors:
Tm  0.207  0.207  0.000
Tm  0.793  0.793  0.000
Ni  0.221  0.500  0.721
Ni  0.779  0.500  0.279
Pt  0.500  0.000  0.500

Results
Formation energy from the elements: -0.751 eV per atom
Crystal system: orthorhombic



Entry 6:
DFT (PBE-GGA) results for a geometry-optimized UNi2Pt6 structure.

abc: 5.395 5.395 7.692
angles: 121.66 121.66 50.96
Sites, in units of the cell vectors:
U  0.000  0.000  0.000
Ni  0.427  0.427  0.735
Ni  0.573  0.573  0.265
Pt  0.095  0.095  0.426
Pt  0.261  0.261  0.909
Pt  0.330  0.330  0.329
Pt  0.670  0.670  0.671
Pt  0.739  0.739  0.091
Pt  0.905  0.905  0.574

Results
Formation energy from the elements: -0.318 eV per atom
ΔE to the lowest computed polymorph: 0.014 eV/atom
Crystal system: monoclinic



Entry 7:
DFT (PBE-GGA) results for a geometry-optimized UNi5Pt structure.

abc: 7.928 4.747 10.046
angles: 90.00 90.00 90.00
Sites, in units of the cell vectors:
U  0.242  0.250  0.064
U  0.258  0.750  0.564
U  0.742  0.250  0.436
U  0.758  0.750  0.936
Ni  0.032  0.750  0.098
Ni  0.062  0.004  0.309
Ni  0.062  0.496  0.309
Ni  0.086  0.250  0.516
Ni  0.196  0.250  0.736
Ni  0.304  0.750  0.236
Ni  0.414  0.750  0.016
Ni  0.438  0.504  0.809
Ni  0.438  0.996  0.809
Ni  0.468  0.250  0.598
Ni  0.532  0.750  0.402
Ni  0.562  0.004  0.191
Ni  0.562  0.496  0.191
Ni  0.586  0.250  0.984
Ni  0.696  0.250  0.764
Ni  0.804  0.750  0.264
Ni  0.914  0.750  0.484
Ni  0.938  0.504  0.691
Ni  0.938  0.996  0.691
Ni  0.968  0.250  0.902
Pt  0.150  0.750  0.862
Pt  0.350  0.250  0.362
Pt  0.650  0.750  0.638
Pt  0.850  0.250  0.138

Results
Formation energy from the elements: -0.251 eV per atom
Crystal system: orthorhombic



Entry 8:
DFT (PBE-GGA) results for a geometry-optimized U2Ni15Pt2 structure.

abc: 6.339 6.339 6.339
angles: 82.94 82.94 82.94
Sites, in units of the cell vectors:
U  0.148  0.148  0.148
U  0.852  0.852  0.852
Ni  0.000  0.000  0.500
Ni  0.000  0.331  0.669
Ni  0.000  0.500  0.000
Ni  0.000  0.669  0.331
Ni  0.175  0.661  0.661
Ni  0.331  0.000  0.669
Ni  0.331  0.669  0.000
Ni  0.339  0.339  0.825
Ni  0.339  0.825  0.339
Ni  0.500  0.000  0.000
Ni  0.661  0.175  0.661
Ni  0.661  0.661  0.175
Ni  0.669  0.000  0.331
Ni  0.669  0.331  0.000
Ni  0.825  0.339  0.339
Pt  0.372  0.372  0.372
Pt  0.628  0.628  0.628

Results
Formation energy from the elements: -0.029 eV per atom
Crystal system: trigonal



Entry 9:
DFT (PBE-GGA) results for a geometry-optimized U2NiPt9 structure.

abc: 4.120 4.120 11.936
angles: 90.00 90.00 90.00
Sites, in units of the cell vectors:
U  0.000  0.000  0.180
U  0.000  0.000  0.820
Ni  0.000  0.000  0.500
Pt  0.000  0.500  0.000
Pt  0.000  0.500  0.343
Pt  0.000  0.500  0.657
Pt  0.500  0.000  0.000
Pt  0.500  0.000  0.343
Pt  0.500  0.000  0.657
Pt  0.500  0.500  0.172
Pt  0.500  0.500  0.500
Pt  0.500  0.500  0.828

Results
Formation energy from the elements: -0.509 eV per atom
Crystal system: tetragonal



Entry 10:
DFT (PBE-GGA) results for a geometry-optimized U2Ni5Pt4 structure.

abc: 9.380 8.692 5.016
angles: 81.61 66.45 31.94
Sites, in units of the cell vectors:
U  0.132  0.132  0.868
U  0.868  0.868  0.132
Ni  0.000  0.000  0.500
Ni  0.250  0.250  0.250
Ni  0.500  0.500  0.000
Ni  0.500  0.500  0.500
Ni  0.750  0.750  0.750
Pt  0.209  0.536  0.464
Pt  0.464  0.791  0.209
Pt  0.536  0.209  0.791
Pt  0.791  0.464  0.536

Results
Formation energy from the elements: -0.299 eV per atom
Crystal system: orthorhombic



Entry 11:
DFT (PBE-GGA) results for a geometry-optimized UNi2Pt2 structure.

abc: 9.180 9.180 9.180
angles: 159.61 159.61 29.00
Sites, in units of the cell vectors:
U  0.000  0.000  0.000
Ni  0.250  0.750  0.500
Ni  0.750  0.250  0.500
Pt  0.138  0.138  0.000
Pt  0.862  0.862  0.000

Results
Formation energy from the elements: 0.429 eV per atom
ΔE to the lowest computed polymorph: 0.689 eV/atom
Crystal system: tetragonal



Entry 12:
DFT (PBE-GGA) results for a geometry-optimized UNi5Pt2 structure.

abc: 5.336 5.336 5.336
angles: 118.49 118.49 92.63
Sites, in units of the cell vectors:
U  0.000  0.000  0.000
Ni  0.001  0.001  0.501
Ni  0.001  0.500  0.000
Ni  0.500  0.001  0.000
Ni  0.500  0.500  0.499
Ni  0.502  0.502  0.000
Pt  0.001  0.501  0.500
Pt  0.501  0.001  0.500

Results
Formation energy from the elements: -0.224 eV per atom
Crystal system: tetragonal